DFT (PBE) results for an optimized crystal structure of SmDy4Ho3.

extended XYZ file:
```
16
Lattice="6.273 0.000 0.000 0.000 7.257 0.000 0.000 0.000 11.246" Properties=species:S:1:pos:R:3 pbc="T T T"
Dy 3.017 6.352 2.796
Dy 3.017 6.352 8.451
Dy 4.058 0.907 5.623
Dy 0.933 6.350 5.623
Dy 6.154 0.905 8.419
Dy 0.922 6.350 0.000
Dy 6.154 0.905 2.828
Dy 4.069 0.907 0.000
Ho 6.153 4.538 2.811
Ho 6.153 4.538 8.435
Ho 3.017 2.719 8.435
Ho 3.017 2.719 2.812
Ho 0.927 2.721 5.623
Ho 4.064 4.536 0.000
Sm 4.064 4.538 5.623
Sm 0.927 2.719 0.000
```

## Properties
Energy above the most stable polymorph in this dataset in eV per formula unit: 0.00
V in Å³ per cell: 511.96
DOS at the Fermi energy in states/eV/f.u.: 13.09